(1)
First-principles (PBE) data for a relaxed TbYCu4 crystal, as listed in Alexandria.

Computed properties:
E above lowest polymorph = 2.426 kcal/mol of atoms
calculated volume = 414.96 Å³/cell
raw total energy = -113.82 eV for the cell shown

Unit cell a=7.4588 b=7.4588 c=7.4588 alpha=90.00 beta=90.00 gamma=90.00
With the nearest neighbours (Å) after each atom.
Space group F-43m (No. 216)
Unique sites:
1 Tb 0.0000 0.0000 0.0000 x4  12 Cu 3.09, 4 Y 3.23
2 Y 0.2500 0.2500 0.2500 x4  12 Cu 3.09, 4 Tb 3.23
3 Cu 0.1249 0.1249 0.6249 x16  6 Cu 2.63-2.64

(2)
First-principles (PBE) data for a relaxed TbYCu2 crystal, as listed in Alexandria.

Computed properties:
E above lowest polymorph = 0.000 kcal/mol of atoms
calculated volume = 87.28 Å³/cell
raw total energy = -20.29 eV for the cell shown

Unit cell a=3.7687 b=4.4761 c=5.4899 alpha=90.00 beta=109.54 gamma=90.00
With the nearest neighbours (Å) after each atom.
Space group Pm (No. 6)
Unique sites:
1 Tb 0.0000 0.0000 0.0000 x1  7 Cu 2.88-3.02
2 Y 0.7207 0.5000 0.4379 x1  7 Cu 2.88-3.02
3 Cu 0.2914 0.0000 0.5781 x1  2 Cu 2.67, 3 Tb 2.88-2.99
4 Cu 0.4293 0.5000 0.8606 x1  2 Cu 2.67, 3 Y 2.88-2.99

(3)
First-principles (PBE) data for a relaxed TbY3Cu2 crystal, as listed in Alexandria.

Computed properties:
E above lowest polymorph = 0.000 kcal/mol of atoms
calculated volume = 298.28 Å³/cell
raw total energy = -66.35 eV for the cell shown

Unit cell a=4.9407 b=8.7396 c=6.9078 alpha=90.00 beta=90.00 gamma=90.00
With the nearest neighbours (Å) after each atom.
Space group Pmc2_1 (No. 26)
Unique sites:
1 Tb 0.0000 0.0773 0.0000 x2  3 Cu 2.83-3.10
2 Y 0.0000 0.3353 0.6282 x2  4 Cu 2.79-3.05
3 Y 0.5000 0.1628 0.3426 x2  4 Cu 2.79-3.06
4 Y 0.5000 0.4247 0.9710 x2  3 Cu 2.83-3.10
5 Cu 0.0000 0.3478 0.2244 x2  6 Y 2.79-3.10, 1 Tb 2.83
6 Cu 0.5000 0.1531 0.7468 x2  5 Y 2.79-3.05, 2 Tb 3.10

(4)
First-principles (PBE) data for a relaxed Tb2YCu2 crystal, as listed in Alexandria.

Computed properties:
E above lowest polymorph = 0.000 kcal/mol of atoms
calculated volume = 465.91 Å³/cell
raw total energy = -98.90 eV for the cell shown

Unit cell a=3.5182 b=26.0808 c=5.0776 alpha=90.00 beta=90.00 gamma=90.00
With the nearest neighbours (Å) after each atom.
Space group Cmcm (No. 63)
Unique sites:
1 Tb 0.0000 0.0466 0.2500 x4  8 Cu 2.98-3.09
2 Tb 0.0000 0.2297 0.2500 x4  2 Cu 2.93, 4 Tb 3.27
3 Y 0.0000 0.1413 0.7500 x4  6 Cu 3.05-3.09
4 Cu 0.0000 0.3600 0.7500 x4  4 Tb 2.93-3.00, 4 Y 3.09
5 Cu 0.0000 0.4543 0.2500 x4  6 Tb 2.98-3.09, 2 Y 3.05

(5)
First-principles (PBE) data for a relaxed TbY4Cu2 crystal, as listed in Alexandria.

Computed properties:
calculated volume = 599.90 Å³/cell
raw total energy = -112.46 eV for the cell shown

Unit cell a=4.9937 b=4.9937 c=27.7783 alpha=90.00 beta=90.00 gamma=120.00
With the nearest neighbours (Å) after each atom.
Space group R-3m (No. 166, hexagonal axes)
Unique sites:
1 Tb 0.0000 0.0000 0.0000 x3  2 Cu 2.80
2 Y 0.0000 0.0000 0.2027 x6  4 Cu 2.83-3.00
3 Y 0.0000 0.0000 0.4000 x6  3 Cu 3.04, 3 Y 3.39
4 Cu 0.0000 0.0000 0.1008 x6  1 Tb 2.80, 7 Y 2.83-3.04

(6)
First-principles (PBE) data for a relaxed Tb4Y3Cu4 crystal, as listed in Alexandria.

Computed properties:
calculated volume = 538.79 Å³/cell
raw total energy = -110.39 eV for the cell shown

Unit cell a=4.8407 b=7.3653 c=15.1119 alpha=90.00 beta=90.00 gamma=90.00
With the nearest neighbours (Å) after each atom.
Space group Immm (No. 71)
Unique sites:
1 Tb 0.0000 0.2188 0.1717 x8  4 Cu 2.73-2.94
2 Y 0.0000 0.0000 0.3959 x4  4 Cu 3.14, 1 Y 3.15, 4 Tb 3.35
3 Y 0.0000 0.5000 0.5000 x2  2 Cu 3.05
4 Cu 0.0000 0.3334 0.0000 x4  1 Cu 2.45, 2 Tb 2.73
5 Cu 0.0000 0.5000 0.2981 x4  6 Tb 2.82-2.94, 1 Y 3.05